# 1
# SnH4 (PBE-GGA, relaxed)
# **Total moment**: 0.000 μB/f.u.
# **Energy above the lowest structure with this stoichiometry**: 162.2 meV per atom
data_SnH4
_cell_length_a 4.819
_cell_length_b 4.819
_cell_length_c 8.453
_cell_angle_alpha 114.82
_cell_angle_beta 114.82
_cell_angle_gamma 54.71
_symmetry_space_group_name_H-M 'P 1'
_symmetry_Int_Tables_number 1
loop_
_symmetry_equiv_pos_as_xyz
'x,y,z'
loop_
_atom_site_label
_atom_site_fract_x
_atom_site_fract_y
_atom_site_fract_z
Sn1 0.069 0.931 0.750
Sn2 0.931 0.069 0.250
H1 0.028 0.337 0.806
H2 0.258 0.668 0.570
H3 0.332 0.742 0.930
H4 0.337 0.028 0.306
H5 0.663 0.972 0.694
H6 0.668 0.258 0.070
H7 0.742 0.332 0.430
H8 0.972 0.663 0.194



# 2
# CrCuOs2 (PBE-GGA, relaxed)
# **Energy of formation**: 0.33 eV per atom
# **Total moment**: 0.290 μB/f.u.
# **Energy above the lowest structure with this stoichiometry**: 167.6 meV per atom
data_CrCuOs2
_cell_length_a 2.988
_cell_length_b 2.988
_cell_length_c 5.877
_cell_angle_alpha 90.00
_cell_angle_beta 90.00
_cell_angle_gamma 90.00
_symmetry_space_group_name_H-M 'P 1'
_symmetry_Int_Tables_number 1
loop_
_symmetry_equiv_pos_as_xyz
'x,y,z'
loop_
_atom_site_label
_atom_site_fract_x
_atom_site_fract_y
_atom_site_fract_z
Cr1 0.000 0.000 0.000
Cu1 0.000 0.000 0.500
Os1 0.500 0.500 0.249
Os2 0.500 0.500 0.751



# 3
# Ca3MnI (PBE-GGA, relaxed)
# **Total moment**: 3.417 μB/f.u.
# **Energy above the lowest structure with this stoichiometry**: 57.9 meV per atom
data_Ca3MnI
_cell_length_a 5.849
_cell_length_b 5.849
_cell_length_c 5.849
_cell_angle_alpha 90.00
_cell_angle_beta 90.00
_cell_angle_gamma 90.00
_symmetry_space_group_name_H-M 'P 1'
_symmetry_Int_Tables_number 1
loop_
_symmetry_equiv_pos_as_xyz
'x,y,z'
loop_
_atom_site_label
_atom_site_fract_x
_atom_site_fract_y
_atom_site_fract_z
Ca1 0.000 0.000 0.500
Ca2 0.000 0.500 0.000
Ca3 0.500 0.000 0.000
Mn1 0.500 0.500 0.500
I1 0.000 0.000 0.000



# 4
# Ag2SnTeS (PBE-GGA, relaxed)
# **E**: -35.1 eV for the cell shown
# **Total moment**: 0.000 μB/f.u.
data_Ag2SnTeS
_cell_length_a 7.432
_cell_length_b 7.432
_cell_length_c 8.366
_cell_angle_alpha 90.00
_cell_angle_beta 90.00
_cell_angle_gamma 145.98
_symmetry_space_group_name_H-M 'P 1'
_symmetry_Int_Tables_number 1
loop_
_symmetry_equiv_pos_as_xyz
'x,y,z'
loop_
_atom_site_label
_atom_site_fract_x
_atom_site_fract_y
_atom_site_fract_z
Ag1 0.181 0.819 0.519
Ag2 0.181 0.819 0.981
Ag3 0.819 0.181 0.019
Ag4 0.819 0.181 0.481
Sn1 0.490 0.510 0.750
Sn2 0.510 0.490 0.250
Te1 0.298 0.702 0.250
Te2 0.702 0.298 0.750
S1 0.000 0.000 0.000
S2 0.000 0.000 0.500



# 5
# KSnHgIr2 (PBE-GGA, relaxed)
# **Energy of formation**: 2.17 eV per atom
# **Total moment**: 0.000 μB/f.u.
data_KSnHgIr2
_cell_length_a 4.890
_cell_length_b 4.890
_cell_length_c 5.406
_cell_angle_alpha 90.00
_cell_angle_beta 90.00
_cell_angle_gamma 90.00
_symmetry_space_group_name_H-M 'P 1'
_symmetry_Int_Tables_number 1
loop_
_symmetry_equiv_pos_as_xyz
'x,y,z'
loop_
_atom_site_label
_atom_site_fract_x
_atom_site_fract_y
_atom_site_fract_z
K1 0.000 0.000 0.000
Sn1 0.500 0.500 0.500
Hg1 0.000 0.000 0.500
Ir1 0.000 0.500 0.000
Ir2 0.500 0.000 0.000



# 6
# PrInTc (PBE-GGA, relaxed)
# **Energy of formation**: -0.05 eV per atom
# **Total moment**: 0.000 μB/f.u.
data_PrInTc
_cell_length_a 5.513
_cell_length_b 4.248
_cell_length_c 6.681
_cell_angle_alpha 90.00
_cell_angle_beta 97.30
_cell_angle_gamma 90.00
_symmetry_space_group_name_H-M 'P 1'
_symmetry_Int_Tables_number 1
loop_
_symmetry_equiv_pos_as_xyz
'x,y,z'
loop_
_atom_site_label
_atom_site_fract_x
_atom_site_fract_y
_atom_site_fract_z
Pr1 0.078 0.250 0.258
Pr2 0.922 0.750 0.742
In1 0.404 0.250 0.842
In2 0.596 0.750 0.158
Tc1 0.415 0.750 0.543
Tc2 0.585 0.250 0.457



# 7
# CrGeSeN2 (PBE-GGA, relaxed)
# **Total moment**: 0.203 μB/f.u.
# **Energy above the lowest structure with this stoichiometry**: 905.9 meV per atom
data_CrGeSeN2
_cell_length_a 3.595
_cell_length_b 3.595
_cell_length_c 6.549
_cell_angle_alpha 90.00
_cell_angle_beta 90.00
_cell_angle_gamma 90.00
_symmetry_space_group_name_H-M 'P 1'
_symmetry_Int_Tables_number 1
loop_
_symmetry_equiv_pos_as_xyz
'x,y,z'
loop_
_atom_site_label
_atom_site_fract_x
_atom_site_fract_y
_atom_site_fract_z
Cr1 0.000 0.000 0.000
Ge1 0.500 0.500 0.500
Se1 0.500 0.500 0.000
N1 0.000 0.500 0.500
N2 0.500 0.000 0.500



# 8
# V2ZnRe (PBE-GGA, relaxed)
# **Energy of formation**: -0.07 eV per atom
# **Total moment**: 0.013 μB/f.u.
data_V2ZnRe
_cell_length_a 4.177
_cell_length_b 4.177
_cell_length_c 3.181
_cell_angle_alpha 90.00
_cell_angle_beta 90.00
_cell_angle_gamma 90.00
_symmetry_space_group_name_H-M 'P 1'
_symmetry_Int_Tables_number 1
loop_
_symmetry_equiv_pos_as_xyz
'x,y,z'
loop_
_atom_site_label
_atom_site_fract_x
_atom_site_fract_y
_atom_site_fract_z
V1 0.000 0.500 0.000
V2 0.500 0.000 0.000
Zn1 0.000 0.000 0.500
Re1 0.500 0.500 0.500



| no. | calculated volume (Å³/atom) |
| --- | --- |
| 1 | 14.12 |
| 2 | 13.12 |
| 3 | 40.02 |
| 4 | 25.85 |
| 5 | 25.85 |
| 6 | 25.86 |
| 7 | 16.93 |
| 8 | 13.88 |